Compound: Ba2SrMnF
Source: Alexandria via LeMat-Bulk
Functional: PBE with a Hubbard U
Structure: relaxed

a = 7.155 Å, b = 5.822 Å, c = 7.155 Å
α = 90.00°, β = 90.00°, γ = 90.00°
Site moments in Bohr magnetons follow the coordinates.
Atoms (fractional coordinates):
Sr (0.000, 0.000, 0.000)  -0.23
Mn (0.000, 0.500, 0.000)  4.53
Ba (0.000, 0.000, 0.500)  -0.25
Ba (0.500, 0.000, 0.000)  -0.16
F (0.500, 0.500, 0.500)  -0.01

Output
calculated total energy = -2.5618 eV/atom